Compound: BeFeRh4
Source: Alexandria
Functional: GGA-PBE
Structure: optimized geometry

Properties
- N(E_F) (states/eV/f.u.) = 8.216
- raw total energy (eV/f.u.) = -39.027
- ΔE_f (eV/atom) = 0.43
- mass density (g/cm3) = 8.76

Cell and atoms, written as CIF:
```
data_BeFeRh4
_chemical_formula_sum 'Be4 Fe4 Rh16'
_cell_length_a 7.1235
_cell_length_b 7.1235
_cell_length_c 7.1235
_cell_angle_alpha 90.00
_cell_angle_beta 90.00
_cell_angle_gamma 90.00
_space_group_name_H-M_alt 'F -4 3 m'
_space_group_IT_number 216
_space_group_name_Hall 'F -4 2 3'
loop_
_atom_site_label
_atom_site_fract_x
_atom_site_fract_y
_atom_site_fract_z
Be1 0.0000 0.0000 0.0000
Fe1 0.2500 0.2500 0.7500
Rh1 0.1252 0.1252 0.3748
```